(1)
First-principles (PBE-GGA) data for a relaxed structure of LiPrNdIn, as listed in the Alexandria database.

abc: 5.458 5.458 5.458
angles: 60.00 60.00 60.00
Positions (direct):
In 0.000 0.000 0.000
Li 0.500 0.500 0.500
Pr 0.750 0.750 0.750
Nd 0.250 0.250 0.250

Summary:
energy	-3.816	eV per atom
ΔH_f (0 K)	-266	meV/atom

***

(2)
First-principles (PBE-GGA) data for a relaxed structure of Ho6TlRh, as listed in the Alexandria database.

abc: 6.634 7.089 6.683
angles: 57.97 77.84 66.60
Positions (direct):
Ho 0.740 0.097 0.392
Ho 0.260 0.903 0.608
Ho 0.723 0.732 0.000
Ho 0.260 0.511 0.392
Ho 0.277 0.268 0.000
Ho 0.740 0.489 0.608
Tl 0.000 0.000 0.000
Rh 0.500 0.500 0.000

Summary:
energy	-4.755	eV per atom
ΔH_f (0 K)	-107	meV/atom

***

(3)
First-principles (PBE-GGA) data for a relaxed structure of Ba2LiSb4Pt3, as listed in the Alexandria database.

abc: 4.819 4.819 10.816
angles: 90.00 90.00 90.00
Positions (direct):
Sb 0.000 0.000 0.000
Sb 0.500 0.500 0.000
Sb 0.000 0.500 0.371
Sb 0.500 0.000 0.629
Ba 0.500 0.000 0.256
Ba 0.000 0.500 0.744
Pt 0.000 0.000 0.500
Pt 0.500 0.000 0.881
Pt 0.000 0.500 0.119
Li 0.500 0.500 0.500

Summary:
energy	-4.868	eV per atom
ΔE_f (raw)	-0.831	eV per atom

***

(4)
First-principles (PBE-GGA) data for a relaxed structure of Dy3Te3O, as listed in the Alexandria database.

abc: 6.118 9.155 9.155
angles: 119.89 90.00 90.00
Positions (direct):
Te 0.250 0.186 0.373
Te 0.750 0.814 0.186
Te 0.250 0.186 0.814
Te 0.750 0.814 0.627
Te 0.750 0.373 0.187
Te 0.250 0.627 0.813
O 0.750 0.333 0.667
O 0.250 0.667 0.333
Dy 0.250 0.392 0.196
Dy 0.250 0.804 0.608
Dy 0.750 0.196 0.392
Dy 0.750 0.196 0.805
Dy 0.750 0.608 0.804
Dy 0.250 0.804 0.195

Summary:
energy	-5.752	eV per atom
ΔE_f (raw)	-1.725	eV per atom

***

(5)
First-principles (PBE-GGA) data for a relaxed structure of AcTb4HoS8, as listed in the Alexandria database.

abc: 8.196 8.196 8.179
angles: 59.93 59.93 60.00
Positions (direct):
Tb 0.507 0.998 0.498
Tb 0.998 0.998 0.498
Tb 0.998 0.507 0.498
Tb 0.624 0.624 0.127
S 0.759 0.229 0.253
S 0.759 0.759 0.253
S 0.234 0.796 0.737
S 0.796 0.234 0.737
S 0.235 0.235 0.295
S 0.234 0.234 0.737
S 0.229 0.759 0.253
S 0.756 0.756 0.732
Ho 0.998 0.998 0.006
Ac 0.375 0.375 0.874

Summary:
energy	-6.233	eV per atom
ΔE_f (raw)	-1.931	eV per atom

***

(6)
First-principles (PBE-GGA) data for a relaxed structure of Nd8Ru2Rh, as listed in the Alexandria database.

abc: 6.310 7.728 7.728
angles: 114.04 101.06 101.06
Positions (direct):
Nd 0.179 0.361 0.361
Nd 0.381 0.921 0.659
Nd 0.801 0.646 0.646
Nd 0.584 0.347 0.084
Nd 0.381 0.659 0.921
Nd 0.989 0.789 0.209
Nd 0.989 0.209 0.789
Nd 0.584 0.084 0.347
Ru 0.488 0.698 0.315
Ru 0.488 0.315 0.698
Rh 0.138 0.005 0.005

Summary:
energy	-6.000	eV per atom
ΔH_f (0 K)	-178	meV/atom
E above lowest polymorph	0.025	eV/atom

***

(7)
First-principles (PBE-GGA) data for a relaxed structure of Nd5Fe2I2, as listed in the Alexandria database.

abc: 7.937 7.959 9.360
angles: 90.00 64.92 90.00
Positions (direct):
Nd 0.553 0.837 0.219
Nd 0.447 0.163 0.781
Nd 0.772 0.837 0.781
Nd 0.500 0.500 0.000
Nd 0.000 0.000 0.000
Nd 0.228 0.163 0.219
Nd 0.053 0.663 0.219
Nd 0.272 0.663 0.781
Nd 0.728 0.337 0.219
Nd 0.947 0.337 0.781
Fe 0.613 0.110 0.000
Fe 0.887 0.610 0.000
Fe 0.387 0.890 0.000
Fe 0.113 0.390 0.000
I 0.212 0.000 0.576
I 0.288 0.500 0.424
I 0.788 0.000 0.424
I 0.712 0.500 0.576

Summary:
energy	-5.193	eV per atom
ΔE_f (raw)	-0.319	eV per atom

***

(8)
First-principles (PBE-GGA) data for a relaxed structure of LaCo3Os, as listed in the Alexandria database.

abc: 4.538 4.538 4.538
angles: 90.00 90.00 90.00
Positions (direct):
Os 0.000 0.000 0.000
Co 0.000 0.500 0.000
Co 0.500 0.000 0.000
Co 0.000 0.000 0.500
La 0.500 0.500 0.500

Summary:
energy	-6.898	eV per atom
ΔH_f (0 K)	597	meV/atom
E above lowest polymorph	0.000	eV/atom

***

(9)
First-principles (PBE-GGA) data for a relaxed structure of ThPa2Tc, as listed in the Alexandria database.

abc: 3.341 5.266 5.266
angles: 90.00 90.00 90.00
Positions (direct):
Pa 0.000 0.500 0.000
Pa 0.000 0.000 0.500
Tc 0.500 0.500 0.500
Th 0.500 0.000 0.000

Summary:
energy	-8.991	eV per atom
ΔH_f (0 K)	203	meV/atom
E above lowest polymorph	0.248	eV/atom

***

(10)
First-principles (PBE-GGA) data for a relaxed structure of Cr2NiPt, as listed in the Alexandria database.

abc: 4.205 4.205 4.205
angles: 60.00 60.00 60.00
Positions (direct):
Ni 0.500 0.500 0.500
Cr 0.250 0.250 0.250
Cr 0.000 0.000 0.000
Pt 0.750 0.750 0.750

Summary:
energy	-7.736	eV per atom
ΔH_f (0 K)	31	meV/atom

***

(11)
First-principles (PBE-GGA) data for a relaxed structure of MnIr2W, as listed in the Alexandria database.

abc: 3.820 3.852 3.852
angles: 90.00 90.00 90.00
Positions (direct):
Ir 0.000 0.000 0.000
Ir 0.000 0.500 0.500
W 0.500 0.000 0.500
Mn 0.500 0.500 0.000

Summary:
energy	-10.224	eV per atom
ΔH_f (0 K)	-263	meV/atom
E above lowest polymorph	0.000	eV/atom

***

(12)
First-principles (PBE-GGA) data for a relaxed structure of Tb2Ce2Er7, as listed in the Alexandria database.

abc: 7.946 7.946 5.923
angles: 74.51 74.51 92.64
Positions (direct):
Ce 0.215 0.785 0.500
Ce 0.785 0.215 0.500
Er 0.000 0.000 0.000
Er 0.935 0.409 0.828
Er 0.407 0.407 0.806
Er 0.591 0.065 0.172
Er 0.409 0.935 0.828
Er 0.065 0.591 0.172
Er 0.593 0.593 0.194
Tb 0.770 0.770 0.588
Tb 0.230 0.230 0.412

Summary:
energy	-4.618	eV per atom
ΔH_f (0 K)	207	meV/atom
E above lowest polymorph	0.000	eV/atom